1.
A relaxed structure of CrSbP. Source: the Alexandria database, functional PBE.

Lattice parameters (Å, degrees): 9.147 3.075 7.852 90.00 88.54 90.00
Site moments in Bohr magnetons follow the coordinates.
Fractional positions:
Cr 0.880 0.000 0.911  0.74
Cr 0.880 0.500 0.411  0.74
Cr 0.608 0.000 0.060  1.10
Cr 0.608 0.500 0.560  1.10
Sb 0.068 0.000 0.206  -0.03
Sb 0.068 0.500 0.706  -0.03
Sb 0.404 0.000 0.339  -0.04
Sb 0.404 0.500 0.839  -0.04
P 0.691 0.000 0.343  -0.06
P 0.691 0.500 0.843  -0.06
P 0.803 0.000 0.624  -0.06
P 0.803 0.500 0.124  -0.06

Properties
Relative energy among the computed polymorphs in meV/atom: 94.7
Magnetization in Bohr magnetons per cell: 3.341
Fermi-level density of states in states/eV/cell: 6.96
Formation energy without anion corrections in eV per atom: -0.068
Uncorrected energy in eV/atom: -6.4537

2.
A relaxed structure of NiAsC. Source: the Alexandria database, functional PBE.

Lattice parameters (Å, degrees): 3.488 2.595 4.413 90.00 90.00 90.00
Fractional positions:
Ni 0.500 0.000 0.266
As 0.000 0.000 0.659
C 0.000 0.000 0.116

Properties
Relative energy among the computed polymorphs in meV/atom: 359.3
Calculated formation energy in eV/atom: 0.9414
Magnetization in Bohr magnetons per cell: 0.000
Fermi-level density of states in states/eV/cell: 1.76
Uncorrected energy in eV/atom: -5.6102

3.
A relaxed structure of SiNi2W. Source: the Alexandria database, functional PBE.

Lattice parameters (Å, degrees): 3.606 3.606 3.831 90.00 90.00 90.00
Fractional positions:
Ni 0.000 0.000 0.000
Ni 0.500 0.500 0.000
Si 0.500 0.000 0.500
W 0.000 0.500 0.500

Properties
Magnetization in Bohr magnetons per cell: 0.000
Fermi-level density of states in states/eV/cell: 2.79
Formation energy without anion corrections in eV per atom: -0.145
Uncorrected energy in eV/atom: -7.6299

4.
A relaxed structure of Ca2NdHo. Source: the Alexandria database, functional PBE.

Lattice parameters (Å, degrees): 5.893 5.893 5.893 60.00 60.00 60.00
Fractional positions:
Ca 0.250 0.250 0.250
Ca 0.750 0.750 0.750
Nd 0.000 0.000 0.000
Ho 0.500 0.500 0.500

Properties
Relative energy among the computed polymorphs in meV/atom: 65.1
Calculated formation energy in eV/atom: 0.1547
Magnetization in Bohr magnetons per cell: 0.000
Fermi-level density of states in states/eV/cell: 5.58
Uncorrected energy in eV/atom: -3.1824

5.
A relaxed structure of Sm4DySe4. Source: the Alexandria database, functional PBE.

Lattice parameters (Å, degrees): 5.868 7.103 7.105 80.17 65.61 65.61
Fractional positions:
Sm 0.600 0.604 0.197
Sm 0.400 0.396 0.803
Sm 0.203 0.197 0.397
Sm 0.797 0.803 0.603
Dy 0.000 0.000 0.000
Se 0.904 0.394 0.798
Se 0.096 0.606 0.202
Se 0.298 0.798 0.607
Se 0.702 0.202 0.393

Properties
Magnetization in Bohr magnetons per cell: 0.000
Fermi-level density of states in states/eV/cell: 6.19
Formation energy without anion corrections in eV per atom: -1.564
Uncorrected energy in eV/atom: -5.7211

6.
A relaxed structure of K4Pa3WN8. Source: the Alexandria database, functional PBE.

Lattice parameters (Å, degrees): 6.966 7.570 6.966 117.40 120.00 90.00
Site moments in Bohr magnetons follow the coordinates.
Fractional positions:
K 0.500 0.000 0.000  0.01
K 0.500 0.000 0.500  0.00
K 0.000 0.000 0.000  0.00
K 0.000 0.000 0.500  0.00
Pa 0.500 0.500 0.000  0.12
Pa 0.500 0.500 0.500  0.12
Pa 0.000 0.500 0.500  0.12
W 0.000 0.500 0.000  0.43
N 0.210 0.662 0.952  -0.01
N 0.210 0.662 0.421  -0.01
N 0.278 0.333 0.556  0.00
N 0.741 0.662 0.952  -0.01
N 0.259 0.338 0.048  -0.01
N 0.722 0.667 0.444  0.00
N 0.790 0.338 0.579  -0.01
N 0.790 0.338 0.048  -0.01

Properties
Magnetization in Bohr magnetons per cell: 0.981
Fermi-level density of states in states/eV/cell: 3.40
Formation energy without anion corrections in eV per atom: -0.921
Uncorrected energy in eV/atom: -7.9482

uncorrected energy of number 3 (SiNi2W)? -7.6299 eV/atom